1.
The following is a PBE-GGA calculation of crystalline RbGeH2O4 at its relaxed geometry, from the Alexandria database.

Computed properties:
electronic total energy: -0.1889 hartree per atom

Unit cell a=4.1470 b=7.0461 c=7.7363 alpha=90.00 beta=90.00 gamma=90.00
Last column: nearest neighbours and their distance in Å.
Space group I222 (No. 23)
Inequivalent atoms, fractional coordinates:
Rb: 0.0000 0.0000 0.0000  8 O 3.07-3.09, 4 H 3.40
Ge: 0.0000 0.0000 0.5000  4 O 1.79
H: 0.0000 0.5000 0.1516  2 O 1.24
O: 0.2273 0.3865 0.8542  1 H 1.24

2.
The following is a PBE-GGA calculation of crystalline SnGeH2O at its relaxed geometry, from the Alexandria database.

Computed properties:
electronic total energy: -0.1417 hartree per atom

Unit cell a=3.5408 b=3.5408 c=5.5411 alpha=90.00 beta=90.00 gamma=90.00
Last column: nearest neighbours and their distance in Å.
Space group P4/mmm (No. 123)
Inequivalent atoms, fractional coordinates:
Sn: 0.0000 0.0000 0.0000  4 H 1.77
Ge: 0.0000 0.0000 0.5000  4 O 2.50, 2 Sn 2.77
H: 0.0000 0.5000 0.0000  2 Sn 1.77
O: 0.5000 0.5000 0.5000  4 Ge 2.50

3.
The following is a PBE-GGA calculation of crystalline SrGeH2O4 at its relaxed geometry, from the Alexandria database.

Computed properties:
ΔE to the lowest computed polymorph: 138.9 meV/atom

Unit cell a=4.3843 b=6.0300 c=6.6618 alpha=90.00 beta=90.00 gamma=90.00
Last column: nearest neighbours and their distance in Å.
Space group I222 (No. 23)
Inequivalent atoms, fractional coordinates:
Sr: 0.0000 0.0000 0.0000  8 O 2.64-2.70
Ge: 0.0000 0.0000 0.5000  4 O 1.80
H: 0.0000 0.5000 0.1599  2 O 1.25
O: 0.2270 0.3738 0.8342  1 H 1.25

4.
The following is a PBE-GGA calculation of crystalline SrGeH2O4 at its relaxed geometry, from the Alexandria database.

Computed properties:
ΔE to the lowest computed polymorph: 0.0 meV/atom

Unit cell a=7.4145 b=7.4145 c=6.8077 alpha=90.00 beta=90.00 gamma=90.00
Last column: nearest neighbours and their distance in Å.
Space group I-42d (No. 122)
Inequivalent atoms, fractional coordinates:
Sr: 0.0000 0.0000 0.0000  8 O 2.60-2.74
Ge: 0.0000 0.0000 0.5000  4 O 1.78
H: 0.1737 0.2500 0.6250  2 O 1.22
O: 0.0878 0.6712 0.9070  1 H 1.22